Entry 1:
{"formula": "VMoW", "functional": "PBE", "state": "relaxed", "relative_energy_ev_per_atom": 0.004, "delta_e_f_mev_per_atom": -116, "n_ef_per_ev_cell": 3.9, "vol_a3_per_cell": 90.8, "m_tot_mub_per_cell": 0.00, "e_tot_ev_per_cell": -66.5, "lattice_angstrom": [[4.6867, -2.1957, 0.0000], [4.6867, 2.1957, 0.0000], [-3.1021, 0.0000, 4.4109]], "species": ["V", "V", "Mo", "Mo", "W", "W"], "frac_coords": [[0.0000, 0.0000, 0.0000], [0.6661, 0.6661, 0.4959], [0.0024, 0.0024, 0.5011], [0.3354, 0.3354, 0.9972], [0.3333, 0.3333, 0.4988], [0.6682, 0.6682, 0.0015]]}



Entry 2:
{"formula": "Nb2FeBiSb", "functional": "PBE", "state": "relaxed", "n_ef_per_ev_cell": 8.2, "vol_a3_per_cell": 124.6, "m_tot_mub_per_cell": 0.86, "raw_formation_energy_mev_per_atom": 1169, "e_tot_ev_per_cell": -30.8, "lattice_angstrom": [[5.1750, 0.0000, 0.0000], [0.0000, 5.1750, 0.0000], [0.0000, 0.0000, 4.6526]], "species": ["Nb", "Nb", "Fe", "Bi", "Sb"], "frac_coords": [[0.0000, 0.5000, 0.0000], [0.5000, 0.0000, 0.0000], [0.0000, 0.0000, 0.5000], [0.5000, 0.5000, 0.5000], [0.0000, 0.0000, 0.0000]]}